1.
Material: LaPm5Nd3
Method: DFT, PBE-GGA
State: relaxed

Computed properties:
- Calculated formation energy: 2.317 eV per formula unit
- Relative energy among the computed polymorphs: 0 meV per atom
- Total magnetic moment: 0.000 μB/atom

Cell and atoms, written as CIF:
```
data_LaPm5Nd3
_cell_length_a 24.054
_cell_length_b 8.209
_cell_length_c 6.605
_cell_angle_alpha 90.00
_cell_angle_beta 96.48
_cell_angle_gamma 90.00
_space_group_name_H-M_alt 'C 1 2/c 1'
_space_group_IT_number 15
loop_
_space_group_symop_operation_xyz
'x,y,z'
'-x,-y,-z'
'-x,y,-z+1/2'
'x,-y,z+1/2'
'x+1/2,y+1/2,z'
'-x+1/2,-y+1/2,-z'
'-x+1/2,y+1/2,-z+1/2'
'x+1/2,-y+1/2,z+1/2'
loop_
_atom_site_label
_atom_site_type_symbol
_atom_site_fract_x
_atom_site_fract_y
_atom_site_fract_z
La1 La 0.000 0.179 0.250
Pm1 Pm 0.000 0.176 0.750
Pm2 Pm 0.129 0.119 0.557
Pm3 Pm 0.133 0.383 0.046
Nd1 Nd 0.000 0.500 0.000
Nd2 Nd 0.249 0.130 0.247
```

***

2.
Material: Ac2SbTe5
Method: DFT, PBE-GGA
State: relaxed

Computed properties:
- Energy relative to the elements, uncorrected: -1.05 eV per atom
- Relative energy among the computed polymorphs: 0 meV per atom
- Total magnetic moment: 0.000 μB/atom

Cell and atoms, written as CIF:
```
data_Ac2SbTe5
_cell_length_a 8.823
_cell_length_b 13.113
_cell_length_c 4.728
_cell_angle_alpha 90.00
_cell_angle_beta 90.00
_cell_angle_gamma 90.00
_space_group_name_H-M_alt 'P b a m'
_space_group_IT_number 55
loop_
_space_group_symop_operation_xyz
'x,y,z'
'-x,-y,-z'
'-x,-y,z'
'x,y,-z'
'x+1/2,-y+1/2,-z'
'-x+1/2,y+1/2,z'
'-x+1/2,y+1/2,-z'
'x+1/2,-y+1/2,z'
loop_
_atom_site_label
_atom_site_type_symbol
_atom_site_fract_x
_atom_site_fract_y
_atom_site_fract_z
Ac1 Ac 0.080 0.173 0.000
Sb1 Sb 0.000 0.500 0.500
Te1 Te 0.000 0.000 0.500
Te2 Te 0.143 0.710 0.500
Te3 Te 0.205 0.440 0.000
```

***

3.
Material: CsK2Hg2
Method: DFT, PBE-GGA
State: relaxed

Computed properties:
- Calculated formation energy: -0.664 eV per formula unit
- Relative energy among the computed polymorphs: 60 meV per atom
- Total magnetic moment: 0.000 μB/atom

Cell and atoms, written as CIF:
```
data_CsK2Hg2
_cell_length_a 10.513
_cell_length_b 10.513
_cell_length_c 4.137
_cell_angle_alpha 90.00
_cell_angle_beta 90.00
_cell_angle_gamma 90.00
_space_group_name_H-M_alt 'P 4/m b m'
_space_group_IT_number 127
_space_group_name_Hall '-P 4 2ab'
loop_
_atom_site_label
_atom_site_type_symbol
_atom_site_fract_x
_atom_site_fract_y
_atom_site_fract_z
Cs1 Cs 0.000 0.000 0.000
K1 K 0.128 0.372 0.000
Hg1 Hg 0.167 0.667 0.500
```